*A*
DFT (PBE) results for Tb2YAl after structural relaxation.

Lattice parameters (Å, degrees): 3.530 3.530 9.077 90.00 90.00 90.00
Element x y z (fractional)
Tb 0.000 0.000 0.213
Tb 0.000 0.000 0.787
Y 0.500 0.500 0.500
Al 0.500 0.500 0.000

=====

*B*
DFT (PBE) results for Tb2YAl after structural relaxation.

Lattice parameters (Å, degrees): 5.370 5.370 5.370 60.00 60.00 60.00
Element x y z (fractional)
Tb 0.250 0.250 0.250
Tb 0.750 0.750 0.750
Y 0.000 0.000 0.000
Al 0.500 0.500 0.500

=====

Of them, the most stable is *A* and the least stable is *B*.

=====

*A*
DFT (PBE) results for TbY4Al after structural relaxation.

Lattice parameters (Å, degrees): 8.210 8.210 6.240 100.04 100.04 114.89
Element x y z (fractional)
Tb 0.097 0.903 0.750
Tb 0.903 0.097 0.250
Y 0.110 0.330 0.873
Y 0.216 0.583 0.452
Y 0.330 0.110 0.373
Y 0.417 0.784 0.048
Y 0.583 0.216 0.952
Y 0.670 0.890 0.627
Y 0.784 0.417 0.548
Y 0.890 0.670 0.127
Al 0.499 0.501 0.250
Al 0.501 0.499 0.750

=====

*B*
DFT (PBE) results for TbY4Al after structural relaxation.

Lattice parameters (Å, degrees): 3.555 3.555 14.041 90.00 90.00 90.00
Element x y z (fractional)
Tb 0.000 0.000 0.000
Y 0.000 0.000 0.366
Y 0.000 0.000 0.634
Y 0.500 0.500 0.179
Y 0.500 0.500 0.821
Al 0.500 0.500 0.500

=====

Of them, the most stable is *B* and the least stable is *A*.

=====

*A*
DFT (PBE) results for TbY3Al2 after structural relaxation.

Lattice parameters (Å, degrees): 8.640 8.640 8.640 49.68 49.68 49.68
Element x y z (fractional)
Tb 0.000 0.000 0.000
Tb 0.500 0.500 0.500
Y 0.022 0.750 0.478
Y 0.250 0.522 0.978
Y 0.478 0.022 0.750
Y 0.522 0.978 0.250
Y 0.750 0.478 0.022
Y 0.978 0.250 0.522
Al 0.146 0.146 0.146
Al 0.354 0.354 0.354
Al 0.646 0.646 0.646
Al 0.854 0.854 0.854

=====

*B*
DFT (PBE) results for TbY3Al2 after structural relaxation.

Lattice parameters (Å, degrees): 5.118 9.508 6.575 90.00 90.00 90.00
Element x y z (fractional)
Tb 0.000 0.042 0.000
Tb 0.000 0.958 0.500
Y 0.000 0.323 0.657
Y 0.000 0.677 0.157
Y 0.500 0.177 0.286
Y 0.500 0.457 0.944
Y 0.500 0.543 0.444
Y 0.500 0.823 0.786
Al 0.000 0.354 0.179
Al 0.000 0.646 0.679
Al 0.500 0.147 0.764
Al 0.500 0.853 0.264

=====

Of them, the most stable is *B* and the least stable is *A*.